No. 1
ScSe3 | meta-GGA SCAN | single point on PBEsol structure

a b c (Å): 3.7757 5.6363 3.9066
angles (deg): 90.00 90.00 90.00
Last column: nearest neighbours and their distance in Å.
Fractional coordinates of all 4 atoms:
Sc1 0.0000 0.0000 0.0000  4 Se 2.61-2.83
Se1 0.0000 0.5000 0.2776  4 Se 2.68-2.75
Se2 0.5000 0.0000 0.4616  4 Sc 2.61-2.83
Se3 0.5000 0.5000 0.7903  4 Se 2.68-2.75

Calculated values
* electronic total energy: -19.3602 eV/atom
* SG: Pmm2 (25)

No. 2
Ca3IrW | meta-GGA SCAN | single point on PBEsol structure

a b c (Å): 5.1849 5.1849 5.1849
angles (deg): 90.00 90.00 90.00
Last column: nearest neighbours and their distance in Å.
Fractional coordinates of all 5 atoms:
Ca1 0.0000 0.0000 0.5000  2 W 2.59
Ca2 0.0000 0.5000 0.0000  2 W 2.59
Ca3 0.5000 0.0000 0.0000  2 W 2.59
Ir1 0.5000 0.5000 0.5000  12 Ca 3.67
W1 0.0000 0.0000 0.0000  6 Ca 2.59

Calculated values
* electronic total energy: -32.1961 eV/atom
* SG: Pm-3m (221)
* formation enthalpy at 0 K: 170 kJ per mole of atoms

No. 3
Si2GeHIr | meta-GGA SCAN | single point on PBEsol structure

a b c (Å): 4.5651 4.5651 4.8231
angles (deg): 90.00 90.00 90.00
Last column: nearest neighbours and their distance in Å.
Fractional coordinates of all 5 atoms:
Si1 0.0000 0.5000 0.0000  2 Ir 2.28
Si2 0.5000 0.0000 0.0000  2 Ir 2.28
Ge1 0.0000 0.0000 0.5000  2 Ir 2.41
H1 0.5000 0.5000 0.5000  4 Ge 3.23, 8 Si 3.32
Ir1 0.0000 0.0000 0.0000  4 Si 2.28, 2 Ge 2.41

Calculated values
* electronic total energy: -21.9393 eV/atom
* SG: P4/mmm (123)

No. 4
CrSnPd2Se | meta-GGA SCAN | single point on PBEsol structure

a b c (Å): 4.8334 4.8334 5.0097
angles (deg): 90.00 90.00 90.00
Last column: nearest neighbours and their distance in Å.
Fractional coordinates of all 5 atoms:
Cr1 0.0000 0.0000 0.0000  2 Sn 2.50
Sn1 0.0000 0.0000 0.5000  4 Pd 2.42, 2 Cr 2.50
Pd1 0.0000 0.5000 0.5000  2 Sn 2.42
Pd2 0.5000 0.0000 0.5000  2 Sn 2.42
Se1 0.5000 0.5000 0.0000  4 Cr 3.42, 8 Pd 3.48

Calculated values
* electronic total energy: -27.2593 eV/atom
* SG: P4/mmm (123)

No. 5
Er2ZnIr | meta-GGA SCAN | single point on PBEsol structure

a b c (Å): 4.8031 4.8031 4.8031
angles (deg): 60.00 60.00 60.00
Last column: nearest neighbours and their distance in Å.
Fractional coordinates of all 4 atoms:
Er1 0.2500 0.2500 0.2500  4 Ir 2.94, 4 Zn 2.94
Er2 0.7500 0.7500 0.7500  4 Ir 2.94, 4 Zn 2.94
Zn1 0.0000 0.0000 0.0000  8 Er 2.94
Ir1 0.5000 0.5000 0.5000  8 Er 2.94

Calculated values
* electronic total energy: -47.1483 eV/atom
* SG: Fm-3m (225)
* formation enthalpy at 0 K: -80 kJ per mole of atoms

No. 6
BaNb4Bi4PbO18 | meta-GGA SCAN | single point on PBEsol structure

a b c (Å): 5.5875 12.6813 12.6813
angles (deg): 154.40 90.00 90.00
Last column: nearest neighbours and their distance in Å.
Fractional coordinates of all 28 atoms:
Ba1 0.0000 0.0000 0.0000  11 O 2.62-2.90
Nb1 0.0000 0.4084 0.5822  5 O 1.89-2.03
Nb2 0.0000 0.5822 0.4084  5 O 1.89-2.03
Nb3 0.5000 0.0853 0.9107  5 O 1.89-2.06
Nb4 0.5000 0.9107 0.0853  5 O 1.89-2.06
Bi1 0.0000 0.2387 0.8361  5 O 2.24-2.41
Bi2 0.0000 0.8361 0.2387  5 O 2.24-2.41
Bi3 0.5000 0.2595 0.6611  5 O 2.24-2.43
Bi4 0.5000 0.6611 0.2595  5 O 2.24-2.43
Pb1 0.5000 0.4916 0.4916  7 O 2.57-2.80
O1 0.0000 0.2664 0.5898  1 Nb 1.89
O2 0.0000 0.5339 0.5339  2 Nb 2.16
O3 0.0000 0.5898 0.2664  1 Nb 1.89
O4 0.2439 0.6748 0.8519  2 Nb 1.95-2.03
O5 0.2439 0.8519 0.6748  2 Nb 1.95-2.03
O6 0.2497 0.5045 0.9982  4 Bi 2.24-2.43
O7 0.2497 0.9982 0.5045  4 Bi 2.24-2.43
O8 0.2571 0.1930 0.3368  2 Nb 1.97-2.06
O9 0.2571 0.3368 0.1930  2 Nb 1.97-2.06
O10 0.5000 0.2385 0.9151  1 Nb 1.89
O11 0.5000 0.9151 0.2385  1 Nb 1.89
O12 0.5000 0.9703 0.9703  2 Nb 2.17
O13 0.7429 0.1930 0.3368  2 Nb 1.97-2.06
O14 0.7429 0.3368 0.1930  2 Nb 1.97-2.06
O15 0.7503 0.5045 0.9982  4 Bi 2.24-2.43
O16 0.7503 0.9982 0.5045  4 Bi 2.24-2.43
O17 0.7561 0.6748 0.8519  2 Nb 1.95-2.03
O18 0.7561 0.8519 0.6748  2 Nb 1.95-2.03

Calculated values
* electronic total energy: -26.2396 eV/atom
* SG: Amm2 (38)

No. 7
ZnFeP2O7 | meta-GGA SCAN | single point on PBEsol structure

a b c (Å): 5.5997 6.2771 7.3284
angles (deg): 82.92 87.21 72.30
Last column: nearest neighbours and their distance in Å.
Fractional coordinates of all 22 atoms:
Zn1 0.1767 0.3438 0.3421  5 O 1.98-2.15
Zn2 0.8233 0.6562 0.6579  5 O 1.98-2.15
Fe1 0.2398 0.8441 0.7983  5 O 1.94-2.15
Fe2 0.7602 0.1559 0.2017  5 O 1.94-2.15
P1 0.2783 0.8009 0.3907  4 O 1.53-1.59
P2 0.3072 0.3183 0.9060  4 O 1.51-1.60
P3 0.6928 0.6817 0.0940  4 O 1.51-1.60
P4 0.7217 0.1991 0.6093  4 O 1.53-1.59
O1 0.1171 0.6419 0.4296  1 P 1.53
O2 0.1205 0.0430 0.3301  1 P 1.53
O3 0.1399 0.5563 0.8363  1 P 1.54
O4 0.1905 0.1353 0.8824  1 P 1.51
O5 0.3990 0.3077 0.1018  1 P 1.53
O6 0.4427 0.7162 0.2163  2 P 1.59-1.60
O7 0.4488 0.7859 0.5534  1 P 1.54
O8 0.5512 0.2141 0.4466  1 P 1.54
O9 0.5573 0.2838 0.7837  2 P 1.59-1.60
O10 0.6010 0.6923 0.8982  1 P 1.53
O11 0.8095 0.8647 0.1176  1 P 1.51
O12 0.8601 0.4437 0.1637  1 P 1.54
O13 0.8795 0.9570 0.6699  1 P 1.53
O14 0.8829 0.3581 0.5704  1 P 1.53

Calculated values
* electronic total energy: -10.9039 eV/atom
* SG: P-1 (2)

No. 8
FeSb | meta-GGA SCAN | single point on PBEsol structure

a b c (Å): 3.1247 3.1247 3.1247
angles (deg): 90.00 90.00 90.00
Last column: nearest neighbours and their distance in Å.
Fractional coordinates of all 2 atoms:
Fe1 0.0000 0.0000 0.0000  8 Sb 2.71
Sb1 0.5000 0.5000 0.5000  8 Fe 2.71

Calculated values
* electronic total energy: -27.1833 eV/atom
* SG: Pm-3m (221)

No. 9
CaTlTe2 | meta-GGA SCAN | single point on PBEsol structure

a b c (Å): 5.6349 5.6349 5.6349
angles (deg): 124.25 124.25 82.78
Last column: nearest neighbours and their distance in Å.
Fractional coordinates of all 4 atoms:
Ca1 0.0000 0.0000 0.0000  8 Te 3.38, 4 Tl 3.73
Tl1 0.5000 0.5000 0.0000  8 Te 3.38, 4 Ca 3.73
Te1 0.2500 0.7500 0.5000  4 Tl 3.38, 4 Ca 3.38, 4 Te 3.73
Te2 0.7500 0.2500 0.5000  4 Tl 3.38, 4 Ca 3.38, 4 Te 3.73

Calculated values
* electronic total energy: -39.8824 eV/atom
* SG: I4/mmm (139)

No. 10
GdSi3Ni8 | meta-GGA SCAN | single point on PBEsol structure

a b c (Å): 7.4460 7.4460 7.3982
angles (deg): 99.67 99.67 130.44
Last column: nearest neighbours and their distance in Å.
Fractional coordinates of all 24 atoms:
Gd1 0.1319 0.8681 0.7500  14 Ni 2.92-3.12, 4 Si 3.10-3.13
Gd2 0.8681 0.1319 0.2500  14 Ni 2.92-3.12, 4 Si 3.10-3.13
Si1 0.0000 0.5000 0.0000  10 Ni 2.32-2.55
Si2 0.2226 0.3138 0.6745  8 Ni 2.33-2.52
Si3 0.3138 0.2226 0.1745  8 Ni 2.33-2.52
Si4 0.5000 0.0000 0.5000  10 Ni 2.32-2.55
Si5 0.6862 0.7774 0.8255  8 Ni 2.33-2.52
Si6 0.7774 0.6862 0.3255  8 Ni 2.33-2.52
Ni1 0.0610 0.2125 0.9307  4 Si 2.33-2.45, 3 Ni 2.35-2.53
Ni2 0.0676 0.6487 0.3295  3 Si 2.32-2.35, 6 Ni 2.37-2.59
Ni3 0.2125 0.0610 0.4307  4 Si 2.33-2.45, 3 Ni 2.35-2.53
Ni4 0.3023 0.6382 0.5791  3 Si 2.33-2.52, 6 Ni 2.37-2.59
Ni5 0.3513 0.9324 0.1705  3 Si 2.32-2.35, 6 Ni 2.37-2.59
Ni6 0.3618 0.6977 0.9209  3 Si 2.33-2.52, 6 Ni 2.37-2.59
Ni7 0.3772 0.6228 0.2500  8 Ni 2.49-2.61, 4 Si 2.55-2.64
Ni8 0.5000 0.5000 0.0000  4 Si 2.34-2.37, 6 Ni 2.35-2.49
Ni9 0.5000 0.5000 0.5000  4 Si 2.34-2.37, 6 Ni 2.35-2.49
Ni10 0.6228 0.3772 0.7500  8 Ni 2.49-2.61, 4 Si 2.55-2.64
Ni11 0.6382 0.3023 0.0791  3 Si 2.33-2.52, 6 Ni 2.37-2.59
Ni12 0.6487 0.0676 0.8295  3 Si 2.32-2.35, 6 Ni 2.37-2.59
Ni13 0.6977 0.3618 0.4209  3 Si 2.33-2.52, 6 Ni 2.37-2.59
Ni14 0.7875 0.9390 0.5693  4 Si 2.33-2.45, 3 Ni 2.35-2.53
Ni15 0.9324 0.3513 0.6705  3 Si 2.32-2.35, 6 Ni 2.37-2.59
Ni16 0.9390 0.7875 0.0693  4 Si 2.33-2.45, 3 Ni 2.35-2.53

Calculated values
* electronic total energy: -18.7558 eV/atom
* SG: C2/c (15)

No. 11
ScCu5 | meta-GGA SCAN | single point on PBEsol structure

a b c (Å): 4.5250 4.5250 5.2559
angles (deg): 105.84 105.84 48.46
Last column: nearest neighbours and their distance in Å.
Fractional coordinates of all 6 atoms:
Sc1 0.0000 0.0000 0.0000  12 Cu 2.63-2.70
Cu1 0.0000 0.0000 0.5000  10 Cu 2.55-2.63, 2 Sc 2.63
Cu2 0.3241 0.3241 0.6546  10 Cu 2.51-2.75, 2 Sc 2.70
Cu3 0.3368 0.3368 0.1840  9 Cu 2.51-2.75, 3 Sc 2.64-2.66
Cu4 0.6632 0.6632 0.8160  9 Cu 2.51-2.75, 3 Sc 2.64-2.66
Cu5 0.6759 0.6759 0.3454  10 Cu 2.51-2.75, 2 Sc 2.70

Calculated values
* electronic total energy: -15.1236 eV/atom
* SG: C2/m (12)
* formation enthalpy at 0 K: -8 kJ per mole of atoms

No. 12
K2AgPb | meta-GGA SCAN | single point on PBEsol structure

a b c (Å): 6.4470 6.4470 6.4470
angles (deg): 139.37 125.64 70.03
Last column: nearest neighbours and their distance in Å.
Fractional coordinates of all 4 atoms:
K1 0.0000 0.0000 0.0000  4 K 3.62-3.89, 4 Pb 3.71-3.75, 4 Ag 3.77
K2 0.6991 0.1991 0.5000  4 K 3.62-3.89, 4 Ag 3.62-3.82, 4 Pb 3.80
Ag1 0.4296 0.4296 0.0000  2 Pb 2.74
Pb1 0.2805 0.7805 0.5000  2 Ag 2.74

Calculated values
* electronic total energy: -31.0645 eV/atom
* SG: Imm2 (44)
* formation enthalpy at 0 K: -11 kJ per mole of atoms